A relaxed structure of SrInRe2, computed with PBE.

abc: 5.6943 5.6943 2.7364
angles: 90.00 90.00 116.46
Fractional coordinates of all 4 atoms:
Sr1 0.0000 0.0000 0.0000
In1 0.5000 0.5000 0.0000
Re1 0.0000 0.5000 0.5000
Re2 0.5000 0.0000 0.5000

Summary:
- Formation energy from the elements: 1134 meV per atom
- SG: No. 65

=====

A relaxed structure of Sr2InRe, computed with PBE.

abc: 5.0664 5.0664 7.7804
angles: 95.02 95.02 35.12
Fractional coordinates of all 4 atoms:
Sr1 0.2441 0.2441 0.2234
Sr2 0.7559 0.7559 0.7766
In1 0.0000 0.0000 0.5000
Re1 0.5000 0.5000 0.0000

Summary:
- Formation energy from the elements: 858 meV per atom
- SG: No. 12

=====

A relaxed structure of SrInRe, computed with PBE.

abc: 7.4855 7.4855 7.4855
angles: 156.16 156.16 33.97
Fractional coordinates of all 3 atoms:
Sr1 0.0000 0.0000 0.0000
In1 0.3036 0.3036 0.0000
Re1 0.6687 0.6687 0.0000

Summary:
- Formation energy from the elements: 705 meV per atom
- Relative energy among the computed polymorphs: 61 meV/atom
- SG: No. 107

=====

A relaxed structure of Sr2InReTe, computed with PBE.

abc: 6.2021 6.2021 5.6998
angles: 90.00 90.00 90.00
Fractional coordinates of all 5 atoms:
Sr1 0.0000 0.5000 0.0000
Sr2 0.5000 0.0000 0.0000
In1 0.0000 0.0000 0.0000
Re1 0.5000 0.5000 0.5000
Te1 0.0000 0.0000 0.5000

Summary:
- SG: No. 123
- Formation energy from raw total energies: 1.162 eV per atom

=====

A relaxed structure of SrInReTe2, computed with PBE.

abc: 5.2392 5.2392 5.9410
angles: 90.00 90.00 90.00
Fractional coordinates of all 5 atoms:
Sr1 0.0000 0.0000 0.0000
In1 0.5000 0.5000 0.0000
Re1 0.0000 0.0000 0.5000
Te1 0.0000 0.5000 0.5000
Te2 0.5000 0.0000 0.5000

Summary:
- SG: No. 123
- Formation energy from raw total energies: 0.318 eV per atom

=====

A relaxed structure of SrInReW2, computed with PBE.

abc: 4.8996 4.8996 5.2380
angles: 90.00 90.00 90.00
Fractional coordinates of all 5 atoms:
Sr1 0.0000 0.0000 0.0000
In1 0.5000 0.5000 0.0000
Re1 0.5000 0.5000 0.5000
W1 0.0000 0.5000 0.5000
W2 0.5000 0.0000 0.5000

Summary:
- Formation energy from the elements: 1238 meV per atom
- SG: No. 123

=====

A relaxed structure of TaIn3Re, computed with PBE.

abc: 5.1114 5.1114 5.1114
angles: 90.00 90.00 90.00
Fractional coordinates of all 5 atoms:
Ta1 0.0000 0.0000 0.0000
In1 0.0000 0.5000 0.5000
In2 0.5000 0.0000 0.5000
In3 0.5000 0.5000 0.0000
Re1 0.5000 0.5000 0.5000

Summary:
- Formation energy from the elements: 1502 meV per atom
- Relative energy among the computed polymorphs: 0 meV/atom
- SG: No. 221

=====

A relaxed structure of Ta2InRe2, computed with PBE.

abc: 7.7131 7.7131 3.0840
angles: 90.00 90.00 90.00
Fractional coordinates of all 10 atoms:
Ta1 0.1523 0.3477 0.0000
Ta2 0.3477 0.8477 0.0000
Ta3 0.6523 0.1523 0.0000
Ta4 0.8477 0.6523 0.0000
In1 0.0000 0.0000 0.5000
In2 0.5000 0.5000 0.5000
Re1 0.1408 0.6408 0.5000
Re2 0.3592 0.1408 0.5000
Re3 0.6408 0.8592 0.5000
Re4 0.8592 0.3592 0.5000

Summary:
- Formation energy from the elements: 259 meV per atom
- Relative energy among the computed polymorphs: 0 meV/atom
- SG: No. 127

=====

A relaxed structure of TaIn2Re, computed with PBE.

abc: 5.4147 5.4147 4.8962
angles: 109.23 109.23 35.39
Fractional coordinates of all 4 atoms:
Ta1 0.0000 0.0000 0.0000
In1 0.5438 0.5438 0.5420
In2 0.7682 0.7682 0.2464
Re1 0.3012 0.3012 0.7763

Summary:
- Formation energy from the elements: 367 meV per atom
- Relative energy among the computed polymorphs: 164 meV/atom
- SG: No. 8

=====

A relaxed structure of TaIn2Re, computed with PBE.

abc: 4.0868 4.0868 4.4679
angles: 90.00 90.00 90.00
Fractional coordinates of all 4 atoms:
Ta1 0.0000 0.0000 0.0000
In1 0.0000 0.5000 0.5000
In2 0.5000 0.0000 0.5000
Re1 0.5000 0.5000 0.0000

Summary:
- Formation energy from the elements: 476 meV per atom
- Relative energy among the computed polymorphs: 272 meV/atom
- SG: No. 123

=====

A relaxed structure of TaIn2Re, computed with PBE.

abc: 9.6684 9.6684 9.6684
angles: 18.00 18.00 18.00
Fractional coordinates of all 4 atoms:
Ta1 0.0000 0.0000 0.0000
In1 0.2465 0.2465 0.2465
In2 0.7535 0.7535 0.7535
Re1 0.5000 0.5000 0.5000

Summary:
- Formation energy from the elements: 519 meV per atom
- Relative energy among the computed polymorphs: 316 meV/atom
- SG: No. 166

=====

A relaxed structure of TaInRe, computed with PBE.

abc: 4.6343 4.6343 2.8636
angles: 90.00 90.00 120.00
Fractional coordinates of all 3 atoms:
Ta1 0.0000 0.0000 0.0000
In1 0.3333 0.6667 0.4189
Re1 0.6667 0.3333 0.7401

Summary:
- Formation energy from the elements: 256 meV per atom
- Relative energy among the computed polymorphs: 92 meV/atom
- SG: No. 156